# 1
RhW, relaxed, DFT PBE; space-group type = P6_3/mmc (194); formation energy from the elements = 0.6958 eV/atom; total moment = 0.00 μB per cell; electronic total energy = -9.457 eV per atom
1.0
3.904 0.000 0.000
-1.952 3.381 0.000
0.000 0.000 5.272
Rh W
2 2
Cartesian
0.000 0.000 0.000 Rh
0.000 0.000 2.636 Rh
0.000 2.254 1.318 W
1.952 1.127 3.954 W

# 2
RhW3, relaxed, DFT PBE; space-group type = Fm-3m (225); formation energy from the elements = 0.2352 eV/atom; total moment = 0.60 μB per cell; electronic total energy = -11.318 eV per atom
1.0
0.000 3.165 3.165
3.165 0.000 3.165
3.165 3.165 0.000
Rh W
1 3
Cartesian
0.000 0.000 0.000 Rh
1.582 1.582 1.582 W
3.165 3.165 3.165 W
4.747 4.747 4.747 W

# 3
Rh2W3, relaxed, DFT PBE; space-group type = Fdd2 (43); formation energy from the elements = 0.0587 eV/atom; E above lowest polymorph = 0 meV per atom; total moment = 0.00 μB per cell; electronic total energy = -10.654 eV per atom
1.0
0.000 6.721 2.412
4.786 0.000 2.412
4.786 6.721 0.000
Rh W
4 6
Cartesian
2.699 0.636 1.206 Rh
5.092 2.725 2.412 Rh
2.087 6.085 1.206 Rh
4.479 10.718 2.412 Rh
4.786 6.721 0.303 W
2.393 3.361 1.508 W
4.303 5.328 2.550 W
5.269 8.115 2.550 W
7.661 8.689 3.756 W
6.695 11.476 3.756 W

# 4
RhW2, relaxed, DFT PBE; space-group type = I4_1/amd (141); formation energy from the elements = 0.0324 eV/atom; E above lowest polymorph = 73 meV per atom; total moment = 0.00 μB per cell; electronic total energy = -11.053 eV per atom
1.0
-1.952 1.952 12.205
1.952 -1.952 12.205
1.952 1.952 -12.205
Rh W
4 8
Cartesian
1.952 0.976 0.950 Rh
1.952 0.976 5.153 Rh
0.000 0.976 7.052 Rh
0.000 0.976 11.255 Rh
1.952 -0.976 7.067 W
1.952 0.976 -3.090 W
1.952 -0.976 11.239 W
0.000 0.976 3.012 W
1.952 0.976 9.192 W
0.000 2.928 0.965 W
0.000 0.976 15.295 W
0.000 2.928 5.137 W

# 5
RhW2, relaxed, DFT PBE; space-group type = Cmcm (63); formation energy from the elements = 0.0853 eV/atom; E above lowest polymorph = 126 meV per atom; total moment = 0.00 μB per cell; electronic total energy = -11.001 eV per atom
1.0
1.343 -7.627 0.000
1.343 7.627 0.000
0.000 0.000 4.565
Rh W
2 4
Cartesian
1.343 4.282 3.424 Rh
1.343 -4.282 1.141 Rh
1.343 5.718 1.141 W
1.343 0.765 1.141 W
1.343 -0.765 3.424 W
1.343 -5.718 3.424 W

# 6
RhW, relaxed, DFT PBE; space-group type = Fm-3m (225); formation energy from the elements = 0.9163 eV/atom; total moment = 0.00 μB per cell; electronic total energy = -9.236 eV per atom
1.0
0.000 2.581 2.581
2.581 0.000 2.581
2.581 2.581 0.000
Rh W
1 1
Cartesian
0.000 0.000 0.000 Rh
2.581 2.581 2.581 W

Q: Which DOS(E_F) values were calculated for the entries above? A: 2.16 6.88 4.48 1.68 3.00 3.13, in states/eV/f.u..